(1)
First-principles (GGA-PBE) data for an optimized crystal structure of AgP2BrCl, as listed in Alexandria via LeMat-Bulk.

Cell: 4.954 4.954 4.914 Å, 90.00 90.00 90.00°
Fractional positions:
Ag 0.000 0.000 0.000
P 0.000 0.500 0.000
P 0.500 0.000 0.000
Br 0.500 0.500 0.500
Cl 0.000 0.000 0.500

Calculated values
The density of states at the Fermi level comes out at 4.0 states/eV per cell. Its space group is P4/mmm, No. 123. For the formation energy from raw total energies, the calculation gives 4.3 eV/f.u. As for the excess energy over the best structure of this formula in the dataset: 0 meV/atom.

---

(2)
First-principles (GGA-PBE) data for an optimized crystal structure of SrHg2P2O7, as listed in Alexandria via LeMat-Bulk.

Cell: 7.915 7.915 7.915 Å, 40.75 40.75 40.75°
Fractional positions:
Sr 0.000 0.000 0.000
Hg 0.193 0.193 0.193
Hg 0.807 0.807 0.807
P 0.426 0.426 0.426
P 0.574 0.574 0.574
O 0.143 0.396 0.679
O 0.321 0.604 0.857
O 0.396 0.679 0.143
O 0.500 0.500 0.500
O 0.604 0.857 0.321
O 0.679 0.143 0.396
O 0.857 0.321 0.604

Calculated values
The density of states at the Fermi level comes out at 3.1 states/eV per cell. Its space group is R32, No. 155. For the formation energy from raw total energies, the calculation gives -22.5 eV/f.u.

---

(3)
First-principles (GGA-PBE) data for an optimized crystal structure of SrPrMgAg, as listed in Alexandria via LeMat-Bulk.

Cell: 5.566 5.566 5.566 Å, 60.00 60.00 60.00°
Fractional positions:
Sr 0.000 0.000 0.000
Pr 0.500 0.500 0.500
Mg 0.250 0.250 0.250
Ag 0.750 0.750 0.750

Calculated values
The density of states at the Fermi level comes out at 4.1 states/eV per cell. Its space group is F-43m, No. 216. The calculated formation energy comes out at -0.10 eV/atom.

---

(4)
First-principles (GGA-PBE) data for an optimized crystal structure of TbPm6Y3, as listed in Alexandria via LeMat-Bulk.

Cell: 11.208 11.208 6.249 Å, 90.00 90.00 120.28°
Fractional positions:
Tb 0.201 0.799 0.500
Tb 0.799 0.201 0.000
Pm 0.042 0.958 0.701
Pm 0.053 0.473 0.252
Pm 0.280 0.720 0.980
Pm 0.290 0.377 0.081
Pm 0.377 0.290 0.581
Pm 0.473 0.053 0.752
Pm 0.527 0.947 0.252
Pm 0.623 0.710 0.081
Pm 0.710 0.623 0.581
Pm 0.720 0.280 0.480
Pm 0.947 0.527 0.752
Pm 0.958 0.042 0.201
Y 0.056 0.281 0.655
Y 0.281 0.056 0.155
Y 0.386 0.614 0.546
Y 0.614 0.386 0.046
Y 0.719 0.944 0.655
Y 0.944 0.719 0.155

Calculated values
The density of states at the Fermi level comes out at 27.6 states/eV per cell. Its space group is Cmc2_1, No. 36. As for the excess energy over the best structure of this formula in the dataset: 11 meV/atom. The calculated formation energy comes out at 0.14 eV/atom.

---

(5)
First-principles (GGA-PBE) data for an optimized crystal structure of CePu2Br8, as listed in Alexandria via LeMat-Bulk.

Cell: 8.347 8.347 8.039 Å, 111.84 111.84 59.58°
Fractional positions:
Ce 0.000 0.000 0.000
Pu 0.131 0.131 0.566
Pu 0.869 0.869 0.434
Br 0.189 0.748 0.263
Br 0.210 0.210 0.284
Br 0.252 0.811 0.737
Br 0.326 0.326 0.833
Br 0.674 0.674 0.167
Br 0.748 0.189 0.263
Br 0.790 0.790 0.716
Br 0.811 0.252 0.737

Calculated values
The density of states at the Fermi level comes out at 31.1 states/eV per cell. Its space group is C2/m, No. 12. For the formation energy from raw total energies, the calculation gives -16.7 eV/f.u. As for the excess energy over the best structure of this formula in the dataset: 85 meV/atom.

---

(6)
First-principles (GGA-PBE) data for an optimized crystal structure of MnFe5B2Mo2, as listed in Alexandria via LeMat-Bulk.

Cell: 8.594 8.594 2.856 Å, 90.00 90.00 90.00°
Fractional positions:
Mn 0.000 0.000 0.000
Mn 0.500 0.500 0.000
Fe 0.000 0.500 0.500
Fe 0.067 0.217 0.500
Fe 0.217 0.933 0.500
Fe 0.283 0.433 0.500
Fe 0.433 0.717 0.500
Fe 0.500 0.000 0.500
Fe 0.567 0.283 0.500
Fe 0.717 0.567 0.500
Fe 0.783 0.067 0.500
Fe 0.933 0.783 0.500
B 0.122 0.378 0.000
B 0.378 0.878 0.000
B 0.622 0.122 0.000
B 0.878 0.622 0.000
Mo 0.178 0.678 0.000
Mo 0.322 0.178 0.000
Mo 0.678 0.822 0.000
Mo 0.822 0.322 0.000

Calculated values
The density of states at the Fermi level comes out at 18.0 states/eV per cell. Its space group is P4/mbm, No. 127. The calculated formation energy comes out at -0.18 eV/atom.

---

(7)
First-principles (GGA-PBE) data for an optimized crystal structure of SnPIN2, as listed in Alexandria via LeMat-Bulk.

Cell: 4.043 4.043 7.305 Å, 90.00 90.00 90.00°
Fractional positions:
Sn 0.000 0.000 0.000
P 0.500 0.500 0.500
I 0.000 0.000 0.500
N 0.000 0.500 0.000
N 0.500 0.000 0.000

Calculated values
The density of states at the Fermi level comes out at 4.3 states/eV per cell. Its space group is P4/mmm, No. 123. For the formation energy from raw total energies, the calculation gives 8.0 eV/f.u. As for the excess energy over the best structure of this formula in the dataset: 157 meV/atom.

---

(8)
First-principles (GGA-PBE) data for an optimized crystal structure of MgCo2Cu, as listed in Alexandria via LeMat-Bulk.

Cell: 4.883 4.883 4.883 Å, 143.87 131.44 62.00°
Fractional positions:
Mg 0.000 0.000 0.000
Co 0.257 0.757 0.500
Co 0.743 0.243 0.500
Cu 0.500 0.500 0.000

Calculated values
The density of states at the Fermi level comes out at 3.7 states/eV per cell. Its space group is Immm, No. 71. The calculated formation energy comes out at 0.15 eV/atom.

---

(9)
First-principles (GGA-PBE) data for an optimized crystal structure of DyBeNF6, as listed in Alexandria via LeMat-Bulk.

Cell: 6.768 5.811 7.680 Å, 90.00 115.64 90.00°
Fractional positions:
Dy 0.115 0.250 0.221
Dy 0.885 0.750 0.779
Be 0.275 0.750 0.559
Be 0.725 0.250 0.441
N 0.413 0.750 0.117
N 0.587 0.250 0.883
F 0.156 0.750 0.692
F 0.182 0.547 0.031
F 0.182 0.953 0.031
F 0.207 0.533 0.424
F 0.207 0.967 0.424
F 0.473 0.250 0.315
F 0.527 0.750 0.685
F 0.793 0.033 0.576
F 0.793 0.467 0.576
F 0.818 0.047 0.969
F 0.818 0.453 0.969
F 0.844 0.250 0.308

Calculated values
The density of states at the Fermi level comes out at 2.1 states/eV per cell. Its space group is P2_1/m, No. 11. For the formation energy from raw total energies, the calculation gives -21.9 eV/f.u.

---

(10)
First-principles (GGA-PBE) data for an optimized crystal structure of TbScTlNi, as listed in Alexandria via LeMat-Bulk.

Cell: 4.987 4.987 4.987 Å, 60.00 60.00 60.00°
Fractional positions:
Tb 0.000 0.000 0.000
Sc 0.500 0.500 0.500
Tl 0.750 0.750 0.750
Ni 0.250 0.250 0.250

Calculated values
The density of states at the Fermi level comes out at 4.0 states/eV per cell. Its space group is F-43m, No. 216. The calculated formation energy comes out at -0.24 eV/atom.

---

(11)
First-principles (GGA-PBE) data for an optimized crystal structure of Ir2Br, as listed in Alexandria via LeMat-Bulk.

Cell: 6.974 6.974 6.974 Å, 145.23 133.56 59.30°
Fractional positions:
Ir 0.255 0.005 0.250
Ir 0.452 0.202 0.250
Ir 0.548 0.798 0.750
Ir 0.745 0.995 0.750
Br 0.152 0.402 0.750
Br 0.848 0.598 0.250

Calculated values
The density of states at the Fermi level comes out at 8.1 states/eV per cell. Its space group is Imma, No. 74. For the formation energy from raw total energies, the calculation gives 3.4 eV/f.u. As for the excess energy over the best structure of this formula in the dataset: 772 meV/atom.

---

(12)
First-principles (GGA-PBE) data for an optimized crystal structure of RbTlAuCl6, as listed in Alexandria via LeMat-Bulk.

Cell: 6.764 6.777 7.241 Å, 93.82 93.99 112.42°
Fractional positions:
Rb 0.000 0.000 0.000
Tl 0.652 0.347 0.499
Au 0.302 0.698 0.500
Cl 0.338 0.415 0.291
Cl 0.339 0.038 0.672
Cl 0.585 0.660 0.708
Cl 0.616 0.062 0.245
Cl 0.939 0.382 0.753
Cl 0.961 0.661 0.327

Calculated values
The density of states at the Fermi level comes out at 0.3 states/eV per cell. Its space group is P1, No. 1. For the formation energy from raw total energies, the calculation gives -7.3 eV/f.u.

---

(13)
First-principles (GGA-PBE) data for an optimized crystal structure of Li2CrAuN, as listed in Alexandria via LeMat-Bulk.

Cell: 4.108 4.108 3.745 Å, 90.00 90.00 90.00°
Fractional positions:
Li 0.000 0.500 0.000
Li 0.500 0.000 0.000
Cr 0.000 0.000 0.500
Au 0.500 0.500 0.500
N 0.000 0.000 0.000

Calculated values
The density of states at the Fermi level comes out at 0.7 states/eV per cell. Its space group is P4/mmm, No. 123. For the formation energy from raw total energies, the calculation gives -2.1 eV/f.u.

---

(14)
First-principles (GGA-PBE) data for an optimized crystal structure of HfTa3Ir, as listed in Alexandria via LeMat-Bulk.

Cell: 4.791 4.791 4.791 Å, 90.00 90.00 90.00°
Fractional positions:
Hf 0.000 0.000 0.000
Ta 0.000 0.000 0.500
Ta 0.000 0.500 0.000
Ta 0.500 0.000 0.000
Ir 0.500 0.500 0.500

Calculated values
The density of states at the Fermi level comes out at 8.5 states/eV per cell. Its space group is Pm-3m, No. 221. As for the excess energy over the best structure of this formula in the dataset: 1234 meV/atom. The calculated formation energy comes out at 2.14 eV/atom.

---

(15)
First-principles (GGA-PBE) data for an optimized crystal structure of NdY2Mg2In2, as listed in Alexandria via LeMat-Bulk.

Cell: 9.392 9.392 9.392 Å, 30.93 30.93 30.93°
Fractional positions:
Nd 0.000 0.000 0.000
Y 0.130 0.130 0.130
Y 0.870 0.870 0.870
Mg 0.404 0.404 0.404
Mg 0.596 0.596 0.596
In 0.260 0.260 0.260
In 0.740 0.740 0.740

Calculated values
The density of states at the Fermi level comes out at 4.6 states/eV per cell. Its space group is R-3m, No. 166. The calculated formation energy comes out at -0.26 eV/atom.

---

(16)
First-principles (GGA-PBE) data for an optimized crystal structure of PaHg12Cl7, as listed in Alexandria via LeMat-Bulk.

Cell: 11.116 11.116 11.116 Å, 117.06 117.06 117.06°
Fractional positions:
Pa 0.000 0.000 0.000
Hg 0.025 0.496 0.817
Hg 0.183 0.975 0.504
Hg 0.246 0.692 0.625
Hg 0.308 0.375 0.754
Hg 0.375 0.754 0.308
Hg 0.496 0.817 0.025
Hg 0.504 0.183 0.975
Hg 0.625 0.246 0.692
Hg 0.692 0.625 0.246
Hg 0.754 0.308 0.375
Hg 0.817 0.025 0.496
Hg 0.975 0.504 0.183
Cl 0.023 0.193 0.283
Cl 0.193 0.283 0.023
Cl 0.283 0.023 0.193
Cl 0.500 0.500 0.500
Cl 0.717 0.977 0.807
Cl 0.807 0.717 0.977
Cl 0.977 0.807 0.717

Calculated values
The density of states at the Fermi level comes out at 3.0 states/eV per cell. Its space group is R-3, No. 148. For the formation energy from raw total energies, the calculation gives -12.1 eV/f.u.

---

(17)
First-principles (GGA-PBE) data for an optimized crystal structure of GaTeAs2, as listed in Alexandria via LeMat-Bulk.

Cell: 4.961 4.961 4.961 Å, 60.00 60.00 60.00°
Fractional positions:
Ga 0.000 0.000 0.000
Te 0.500 0.500 0.500
As 0.250 0.250 0.250
As 0.750 0.750 0.750

Calculated values
The density of states at the Fermi level comes out at 3.2 states/eV per cell. Its space group is Fm-3m, No. 225. For the formation energy from raw total energies, the calculation gives 1.4 eV/f.u. As for the excess energy over the best structure of this formula in the dataset: 167 meV/atom.

---

(18)
First-principles (GGA-PBE) data for an optimized crystal structure of PRhNF2, as listed in Alexandria via LeMat-Bulk.

Cell: 4.319 4.319 3.722 Å, 90.00 90.00 90.00°
Fractional positions:
P 0.000 0.000 0.000
Rh 0.500 0.500 0.500
N 0.500 0.500 0.000
F 0.000 0.500 0.500
F 0.500 0.000 0.500

Calculated values
The density of states at the Fermi level comes out at 3.2 states/eV per cell. Its space group is P4/mmm, No. 123. For the formation energy from raw total energies, the calculation gives 1.5 eV/f.u. As for the excess energy over the best structure of this formula in the dataset: 180 meV/atom.

---

(19)
First-principles (GGA-PBE) data for an optimized crystal structure of K3CF, as listed in Alexandria via LeMat-Bulk.

Cell: 5.125 5.125 5.125 Å, 90.00 90.00 90.00°
Fractional positions:
K 0.000 0.000 0.500
K 0.000 0.500 0.000
K 0.500 0.000 0.000
C 0.500 0.500 0.500
F 0.000 0.000 0.000

Calculated values
The density of states at the Fermi level comes out at 2.0 states/eV per cell. Its space group is Pm-3m, No. 221. For the formation energy from raw total energies, the calculation gives -0.7 eV/f.u. As for the excess energy over the best structure of this formula in the dataset: 0 meV/atom.